[1]
Density functional theory data (GGA-PBE) for a relaxed structure of HgBCSe2.

a = 4.524 Å, b = 4.495 Å, c = 4.524 Å
α = 90.00°, β = 90.00°, γ = 90.00°
Each line ends with the local moment (μB).
Atoms (fractional coordinates):
Se1 0.000 0.000 0.500  -0.12
Se2 0.500 0.000 0.000  -0.10
C1 0.500 0.500 0.500  0.50
B1 0.000 0.000 0.000  0.02
Hg1 0.000 0.500 0.000  -0.01

DOS(E_F) (states/eV per atom): 0.74
Energy relative to the elements, uncorrected (eV/atom): 1.862

***

[2]
Density functional theory data (GGA-PBE) for a relaxed structure of TaAlHRh2.

a = 3.989 Å, b = 3.989 Å, c = 3.976 Å
α = 90.00°, β = 90.00°, γ = 90.00°
Atoms (fractional coordinates):
Ta1 0.000 0.000 0.500
H1 0.000 0.000 0.000
Rh1 0.500 0.000 0.000
Rh2 0.000 0.500 0.000
Al1 0.500 0.500 0.500

DOS(E_F) (states/eV per atom): 0.47
Total energy (eV per atom): -7.08

***

[3]
Density functional theory data (GGA-PBE) for a relaxed structure of Dy8HgRh2.

a = 5.494 Å, b = 7.903 Å, c = 7.903 Å
α = 114.48°, β = 97.92°, γ = 97.92°
Atoms (fractional coordinates):
Rh1 0.500 0.702 0.305
Rh2 0.500 0.305 0.702
Dy1 0.192 0.389 0.389
Dy2 0.000 0.246 0.761
Dy3 0.807 0.617 0.617
Dy4 0.000 0.761 0.246
Dy5 0.577 0.335 0.079
Dy6 0.577 0.079 0.335
Dy7 0.423 0.927 0.672
Dy8 0.423 0.672 0.927
Hg1 0.001 0.003 0.003

Formation energy from the elements (eV/atom): -0.3602
DOS(E_F) (states/eV per atom): 1.13

***

[4]
Density functional theory data (GGA-PBE) for a relaxed structure of LiGaRePdRu.

a = 6.064 Å, b = 3.875 Å, c = 8.050 Å
α = 90.00°, β = 131.41°, γ = 90.00°
Atoms (fractional coordinates):
Li1 0.112 0.000 0.255
Li2 0.112 0.500 0.755
Ru1 0.717 0.000 0.465
Ru2 0.717 0.500 0.965
Re1 0.859 0.500 0.332
Re2 0.859 0.000 0.832
Ga1 0.468 0.000 0.037
Ga2 0.468 0.500 0.537
Pd1 0.282 0.000 0.641
Pd2 0.282 0.500 0.141

Formation energy from the elements (eV/atom): -0.0811
Relative energy among the computed polymorphs (meV/atom): 71
DOS(E_F) (states/eV per atom): 0.62

***

[5]
Density functional theory data (GGA-PBE) for a relaxed structure of MnCo2Pt9.

a = 3.900 Å, b = 3.900 Å, c = 11.726 Å
α = 90.00°, β = 90.00°, γ = 90.00°
Each line ends with the local moment (μB).
Atoms (fractional coordinates):
Co1 0.000 0.000 0.337  2.00
Co2 0.000 0.000 0.663  2.00
Pt1 0.500 0.000 0.500  0.37
Pt2 0.500 0.000 0.169  0.27
Pt3 0.500 0.500 0.335  0.33
Pt4 0.500 0.500 0.665  0.33
Pt5 0.000 0.500 0.831  0.27
Pt6 0.500 0.000 0.831  0.27
Pt7 0.000 0.500 0.500  0.37
Pt8 0.500 0.500 0.000  0.29
Pt9 0.000 0.500 0.169  0.27
Mn1 0.000 0.000 0.000  3.75

Formation energy from the elements (eV/atom): -0.1563
DOS(E_F) (states/eV per atom): 1.55

***

[6]
Density functional theory data (GGA-PBE) for a relaxed structure of BaGeMo3.

a = 4.862 Å, b = 4.862 Å, c = 4.862 Å
α = 90.00°, β = 90.00°, γ = 90.00°
Atoms (fractional coordinates):
Ba1 0.500 0.500 0.500
Mo1 0.000 0.500 0.000
Mo2 0.500 0.000 0.000
Mo3 0.000 0.000 0.500
Ge1 0.000 0.000 0.000

Formation energy from the elements (eV/atom): 1.3246
Relative energy among the computed polymorphs (meV/atom): 0
DOS(E_F) (states/eV per atom): 1.67

***

Which value of DOS(E_F) does entry 2 give?
0.47 states/eV per atom